VASP calculation (PBE with a Hubbard U) on crystalline Li2ZnFe3O6 at its relaxed geometry.

POSCAR file:
```
Li2ZnFe3O6
1.0
2.954 0.000 0.000
0.000 6.020 0.205
-1.477 -1.745 6.274
Li Zn Fe O
2 1 3 6
Direct
0.827 0.652 0.654
0.173 0.348 0.346
0.500 0.000 0.000
0.500 0.500 0.000
0.830 0.165 0.661
0.170 0.835 0.339
0.325 0.936 0.649
0.666 0.611 0.332
0.675 0.064 0.351
0.988 0.234 0.976
0.012 0.766 0.024
0.334 0.389 0.668
```

Values from the calculation:
Spin magnetization in μB/f.u.: 6.01
Calculated volume in A^3/atom: 9.39
Calculated total energy in eV per cell: -67.80